NaCr2S4 (GGA-PBEsol, optimized geometry); crystal system = monoclinic; formation energy (no corrections) = -0.79 eV per atom; space-group type = C2/m
1.0
7.072 -1.658 0.000
7.072 1.658 0.000
-1.594 0.000 5.296
Na Cr S
1 2 4
Cartesian
0.000 0.000 0.000
3.093 0.000 1.570
9.457 0.000 3.726
1.175 0.000 2.702
3.204 0.000 5.186
9.345 0.000 0.110
11.374 0.000 2.594